1.
Compound: Pa2Te2Br3
Source: the Alexandria database
Functional: PBE
Structure: optimized geometry

abc: 4.384 4.295 14.935
angles: 90.00 98.24 90.00
Space group P2/m (No. 10)
Unique sites:
Pa 0.097 0.000 0.197 (multiplicity 2)
Te 0.411 0.500 0.821 (multiplicity 2)
Br 0.000 0.000 0.000 (multiplicity 1)
Br 0.186 0.000 0.377 (multiplicity 2)

Calculated values
- Formation energy from raw total energies: -1041 meV/atom
- Calculated density: 5.709 g/cm³
- Fermi-level density of states: 11.0 states/eV/cell
- Size of the total moment: 2.17 μB/cell
- Total energy: -37.58 eV/cell



2.
Compound: Pa3TeBr7
Source: the Alexandria database
Functional: PBE
Structure: optimized geometry

abc: 7.9564 7.9564 7.5303
angles: 90.00 90.00 120.00
Space group P3m1 (No. 156)
Unique sites:
Pa 0.0088 0.5044 0.0000 (multiplicity 3)
Te 0.6667 0.3333 0.7407 (multiplicity 1)
Br 0.1642 0.3284 0.7686 (multiplicity 3)
Br 0.3273 0.1636 0.2261 (multiplicity 3)
Br 0.3333 0.6667 0.2647 (multiplicity 1)

Calculated values
- Formation energy from raw total energies: -1221 meV/atom
- Calculated density: 5.551 g/cm³
- Fermi-level density of states: 11.5 states/eV/cell
- Size of the total moment: 6.00 μB/cell
- Total energy: -56.77 eV/cell